Entry from the Alexandria database: NaLa2AgW after structural relaxation (PBE-GGA).

The structure belongs to space group P4/mmm (No. 123); the cell edges are 5.710, 5.710 and 4.833 Å and the angles 90.00°, 90.00° and 90.00°. The asymmetric unit holds Na at (0.000, 0.000, 0.000), La at (0.000, 0.500, 0.500), Ag at (0.000, 0.000, 0.500) and W at (0.500, 0.500, 0.000).

The formation enthalpy at 0 K comes out at 1273 meV per atom.



Entry from the Alexandria database: LaNb2Ag after structural relaxation (PBE-GGA).

The structure belongs to space group I-42d (No. 122); the cell edges are 4.139, 4.139 and 21.309 Å and the angles 90.00°, 90.00° and 90.00°. The asymmetric unit holds La at (0.000, 0.000, 0.000), Nb at (0.238, 0.250, 0.625) and Ag at (0.000, 0.000, 0.500).

The formation enthalpy at 0 K comes out at 601 meV per atom.



Entry from the Alexandria database: LaNb2Ag after structural relaxation (PBE-GGA).

The structure belongs to space group Fm-3m (No. 225); the cell edges are 6.871, 6.871 and 6.871 Å and the angles 90.00°, 90.00° and 90.00°. The asymmetric unit holds La at (0.000, 0.000, 0.000), Nb at (0.250, 0.250, 0.250) and Ag at (0.000, 0.000, 0.500).

The formation enthalpy at 0 K comes out at 601 meV per atom.